DFT (PBE) results for a geometry-optimized DyNbIn structure.

abc: 4.8232 4.8232 4.8232
angles: 60.00 60.00 60.00
Last column: nearest neighbours and their distance in Å.
Element x y z (fractional)
Dy1 0.0000 0.0000 0.0000  4 In 2.95
Nb1 0.5000 0.5000 0.5000  4 In 2.95
In1 0.2500 0.2500 0.2500  4 Nb 2.95, 4 Dy 2.95

Properties
Crystal system = cubic
Final energy = -5.304 eV/atom
Energy relative to the lowest polymorph listed for this composition = 0 meV per atom
SG = F-43m
Total magnetization = 0.698 μB/f.u.